The following is a DFT calculation (GGA-PBE) of an optimized crystal structure of LaMg3Re.

The formation energy is 2.521 eV/atom. Its energy above the lowest structure with this stoichiometry is 2008 meV per atom.

The structure belongs to space group Pm-3m (No. 221); the cell edges are 5.4183, 5.4183 and 5.4183 Å and the angles 90.00°, 90.00° and 90.00°. The inequivalent atoms are La at (0.0000, 0.0000, 0.0000), Mg at (0.0000, 0.0000, 0.5000) and Re at (0.5000, 0.5000, 0.5000).